Entry from the Alexandria database: a geometry-optimized CdIrSe structure (PBE-GGA).

M_tot = 0.000 μB/atom
Uncorrected energy = -4.1579 eV per atom
Relative energy among the computed polymorphs = 165 meV/atom
Uncorrected formation energy = 262 meV/atom

The structure in CIF format:
```
data_CdIrSe
_chemical_formula_sum 'Cd4 Ir4 Se4'
_space_group_name_H-M_alt 'F -4 3 m'
_space_group_IT_number 216
_space_group_name_Hall 'F -4 2 3'
_cell_length_a 6.2752
_cell_length_b 6.2752
_cell_length_c 6.2752
_cell_angle_alpha 90.00
_cell_angle_beta 90.00
_cell_angle_gamma 90.00
loop_
_atom_site_label
_atom_site_fract_x
_atom_site_fract_y
_atom_site_fract_z
Cd1 0.0000 0.0000 0.0000
Ir1 0.2500 0.2500 0.7500
Se1 0.0000 0.0000 0.5000
```